1.
First-principles (PBE) data for crystalline Li2YC at its relaxed geometry, as listed in Alexandria via LeMat-Bulk.

Lattice parameters (Å, degrees): 3.605 3.605 19.329 90.00 90.00 90.00
Space group I-42d (No. 122)
Unique sites:
Li1 0.180 0.750 0.125 (multiplicity 8)
Y1 0.000 0.000 0.500 (multiplicity 4)
C1 0.000 0.000 0.000 (multiplicity 4)

Summary:
Size of the total moment in μB/cell: 0.00
Formation energy from the elements in eV/atom: 0.3780


2.
First-principles (PBE) data for crystalline Li3YC at its relaxed geometry, as listed in Alexandria via LeMat-Bulk.

Lattice parameters (Å, degrees): 6.034 6.034 6.034 90.00 90.00 90.00
Space group Pm-3m (No. 221)
Unique sites:
Li1 0.000 0.000 0.500 (multiplicity 3)
Y1 0.000 0.000 0.000 (multiplicity 1)
C1 0.500 0.500 0.500 (multiplicity 1)

Summary:
Size of the total moment in μB/cell: 5.27
Energy relative to the lowest polymorph listed for this composition in meV/atom: 1881
Formation energy from the elements in eV/atom: 2.3427


3.
First-principles (PBE) data for crystalline LiYC3 at its relaxed geometry, as listed in Alexandria via LeMat-Bulk.

Lattice parameters (Å, degrees): 4.579 4.579 4.579 90.00 90.00 90.00
Space group Pm-3m (No. 221)
Unique sites:
Li1 0.000 0.000 0.000 (multiplicity 1)
Y1 0.500 0.500 0.500 (multiplicity 1)
C1 0.000 0.500 0.500 (multiplicity 3)

Summary:
Size of the total moment in μB/cell: 0.00
Energy relative to the lowest polymorph listed for this composition in meV/atom: 780
Formation energy from the elements in eV/atom: 2.4241


4.
First-principles (PBE) data for crystalline LiYC3 at its relaxed geometry, as listed in Alexandria via LeMat-Bulk.

Lattice parameters (Å, degrees): 3.789 3.789 3.789 90.00 90.00 90.00
Space group Pm-3m (No. 221)
Unique sites:
Li1 0.000 0.000 0.000 (multiplicity 1)
Y1 0.500 0.500 0.500 (multiplicity 1)
C1 0.000 0.000 0.500 (multiplicity 3)

Summary:
Size of the total moment in μB/cell: 0.00
Energy relative to the lowest polymorph listed for this composition in meV/atom: 0
Formation energy from the elements in eV/atom: 1.6438


5.
First-principles (PBE) data for crystalline Li2YZnC at its relaxed geometry, as listed in Alexandria via LeMat-Bulk.

Lattice parameters (Å, degrees): 6.120 6.120 4.214 90.00 90.00 90.00
Space group P4/mmm (No. 123)
Unique sites:
Li1 0.000 0.500 0.000 (multiplicity 2)
Y1 0.000 0.000 0.000 (multiplicity 1)
Zn1 0.500 0.500 0.500 (multiplicity 1)
C1 0.000 0.000 0.500 (multiplicity 1)

Summary:
Size of the total moment in μB/cell: 0.00
Formation energy from the elements in eV/atom: 1.1734


6.
First-principles (PBE) data for crystalline LiY2ZrC at its relaxed geometry, as listed in Alexandria via LeMat-Bulk.

Lattice parameters (Å, degrees): 5.027 5.027 4.507 90.00 90.00 90.00
Space group P4/mmm (No. 123)
Unique sites:
Li1 0.000 0.000 0.000 (multiplicity 1)
Y1 0.000 0.500 0.500 (multiplicity 2)
Zr1 0.500 0.500 0.000 (multiplicity 1)
C1 0.500 0.500 0.500 (multiplicity 1)

Summary:
Size of the total moment in μB/cell: 0.00
Formation energy from the elements in eV/atom: -0.0727


7.
First-principles (PBE) data for crystalline LiZnC3 at its relaxed geometry, as listed in Alexandria via LeMat-Bulk.

Lattice parameters (Å, degrees): 3.994 3.994 3.994 90.00 90.00 90.00
Space group Pm-3m (No. 221)
Unique sites:
Li1 0.000 0.000 0.000 (multiplicity 1)
Zn1 0.500 0.500 0.500 (multiplicity 1)
C1 0.000 0.500 0.500 (multiplicity 3)

Summary:
Size of the total moment in μB/cell: 0.00
Energy relative to the lowest polymorph listed for this composition in meV/atom: 0
Formation energy from the elements in eV/atom: 2.6136


8.
First-principles (PBE) data for crystalline Li2Zn2C at its relaxed geometry, as listed in Alexandria via LeMat-Bulk.

Lattice parameters (Å, degrees): 3.298 3.298 14.002 90.00 90.00 90.00
Space group I4/mmm (No. 139)
Unique sites:
Li1 0.000 0.000 0.079 (multiplicity 4)
Zn1 0.000 0.500 0.250 (multiplicity 4)
C1 0.000 0.000 0.500 (multiplicity 2)

Summary:
Size of the total moment in μB/cell: 0.00
Energy relative to the lowest polymorph listed for this composition in meV/atom: 285
Formation energy from the elements in eV/atom: 0.8937


9.
First-principles (PBE) data for crystalline Li2ZnC at its relaxed geometry, as listed in Alexandria via LeMat-Bulk.

Lattice parameters (Å, degrees): 8.578 8.578 3.743 90.00 90.00 90.00
Space group I-42d (No. 122)
Unique sites:
Li1 0.002 0.250 0.125 (multiplicity 8)
Zn1 0.000 0.000 0.500 (multiplicity 4)
C1 0.000 0.000 0.000 (multiplicity 4)

Summary:
Size of the total moment in μB/cell: 0.00
Energy relative to the lowest polymorph listed for this composition in meV/atom: 0
Formation energy from the elements in eV/atom: 0.2984


10.
First-principles (PBE) data for crystalline Li2Zn2C at its relaxed geometry, as listed in Alexandria via LeMat-Bulk.

Lattice parameters (Å, degrees): 5.384 5.384 4.174 90.00 90.00 90.00
Space group P4/mbm (No. 127)
Unique sites:
Li1 0.157 0.343 0.000 (multiplicity 4)
Zn1 0.172 0.672 0.500 (multiplicity 4)
C1 0.000 0.000 0.000 (multiplicity 2)

Summary:
Size of the total moment in μB/cell: 0.00
Energy relative to the lowest polymorph listed for this composition in meV/atom: 0
Formation energy from the elements in eV/atom: 0.6089


11.
First-principles (PBE) data for crystalline Li2ZnC at its relaxed geometry, as listed in Alexandria via LeMat-Bulk.

Lattice parameters (Å, degrees): 5.474 5.474 5.474 90.00 90.00 90.00
Space group Fm-3m (No. 225)
Unique sites:
Li1 0.250 0.250 0.250 (multiplicity 8)
Zn1 0.000 0.000 0.000 (multiplicity 4)
C1 0.000 0.000 0.500 (multiplicity 4)

Summary:
Size of the total moment in μB/cell: 0.00
Energy relative to the lowest polymorph listed for this composition in meV/atom: 349
Formation energy from the elements in eV/atom: 0.6471


12.
First-principles (PBE) data for crystalline LiZnC3 at its relaxed geometry, as listed in Alexandria via LeMat-Bulk.

Lattice parameters (Å, degrees): 3.688 3.688 3.688 90.00 90.00 90.00
Space group Pm-3m (No. 221)
Unique sites:
Li1 0.000 0.000 0.000 (multiplicity 1)
Zn1 0.500 0.500 0.500 (multiplicity 1)
C1 0.000 0.000 0.500 (multiplicity 3)

Summary:
Size of the total moment in μB/cell: 0.00
Energy relative to the lowest polymorph listed for this composition in meV/atom: 170
Formation energy from the elements in eV/atom: 2.7838